Entry w
Here is crystalline BaAg2Cl at its relaxed geometry from Alexandria via LeMat-Bulk. Energies are from PBEsol.

Calculated values
space-group type	Pmmm
density of states at the Fermi level	0.2880	states/eV per atom

Unit cell a=4.161 b=4.206 c=5.956 alpha=90.00 beta=90.00 gamma=90.00
Positions (direct):
Ba 0.500 0.000 0.500
Ag 0.000 0.000 0.000
Ag 0.500 0.500 0.000
Cl 0.000 0.500 0.500

Entry x
Here is crystalline BaAg2Cl at its relaxed geometry from Alexandria via LeMat-Bulk. Energies are from PBEsol.

Calculated values
space-group type	R-3m
density of states at the Fermi level	0.9278	states/eV per atom

Unit cell a=4.823 b=4.823 c=6.034 alpha=66.44 beta=66.44 gamma=60.00
Positions (direct):
Ba 0.500 0.500 0.500
Ag 0.290 0.290 0.130
Ag 0.710 0.710 0.870
Cl 0.000 0.000 0.000

Entry y
Here is crystalline BaAg2Cl at its relaxed geometry from Alexandria via LeMat-Bulk. Energies are from PBEsol.

Calculated values
space-group type	P4/mmm
density of states at the Fermi level	0.3728	states/eV per atom

Unit cell a=4.585 b=4.580 c=5.673 alpha=90.00 beta=90.00 gamma=90.00
Positions (direct):
Ba 0.500 0.500 0.000
Ag 0.000 0.000 0.750
Ag 0.000 0.000 0.250
Cl 0.500 0.500 0.500

Entry z
Here is crystalline BaAg2Cl at its relaxed geometry from Alexandria via LeMat-Bulk. Energies are from PBEsol.

Calculated values
space-group type	Imm2
density of states at the Fermi level	0.3455	states/eV per atom

Unit cell a=4.904 b=5.366 c=5.366 alpha=66.33 beta=62.81 gamma=62.81
Positions (direct):
Ba 0.494 0.506 0.506
Ag 0.956 0.044 0.044
Ag 0.304 0.196 0.196
Cl 0.746 0.754 0.754

Stability order, top to bottom: entry w, entry z, entry y, entry x

Entry w
Here is crystalline KBaAg2 at its relaxed geometry from Alexandria via LeMat-Bulk. Energies are from PBEsol.

Calculated values
space-group type	P4/mmm
density of states at the Fermi level	0.5150	states/eV per atom

Unit cell a=4.735 b=4.733 c=6.686 alpha=90.00 beta=90.00 gamma=90.00
Positions (direct):
Ag 0.000 0.000 0.500
Ag 0.500 0.500 0.000
Ba 0.000 0.000 0.000
K 0.500 0.500 0.500

Entry x
Here is crystalline KBaAg2 at its relaxed geometry from Alexandria via LeMat-Bulk. Energies are from PBEsol.

Calculated values
space-group type	I-4m2
density of states at the Fermi level	0.4871	states/eV per atom

Unit cell a=4.784 b=4.784 c=6.199 alpha=112.70 beta=112.70 gamma=90.00
Positions (direct):
Ag 0.000 0.000 0.000
Ag 0.750 0.250 0.500
Ba 0.500 0.500 0.000
K 0.250 0.750 0.500

Entry y
Here is crystalline KBaAg2 at its relaxed geometry from Alexandria via LeMat-Bulk. Energies are from PBEsol.

Calculated values
space-group type	Amm2
density of states at the Fermi level	0.5684	states/eV per atom

Unit cell a=4.612 b=4.821 c=6.487 alpha=90.00 beta=110.82 gamma=90.00
Positions (direct):
K 0.392 0.500 0.783
Ba 0.107 0.000 0.213
Ag 0.807 0.000 0.615
Ag 0.687 0.500 0.375

Entry z
Here is crystalline KBaAg2 at its relaxed geometry from Alexandria via LeMat-Bulk. Energies are from PBEsol.

Calculated values
space-group type	Fm-3m
density of states at the Fermi level	0.5383	states/eV per atom

Unit cell a=5.630 b=5.630 c=5.630 alpha=60.00 beta=60.00 gamma=60.00
Positions (direct):
K 0.000 0.000 0.000
Ba 0.500 0.500 0.500
Ag 0.250 0.250 0.250
Ag 0.750 0.750 0.750

Stability order, top to bottom: entry y, entry z, entry x, entry w

Entry w
Here is crystalline KBa2Ag at its relaxed geometry from Alexandria via LeMat-Bulk. Energies are from PBEsol.

Calculated values
space-group type	P4/mmm
density of states at the Fermi level	1.0347	states/eV per atom

Unit cell a=4.085 b=4.085 c=11.066 alpha=90.00 beta=90.00 gamma=90.00
Positions (direct):
K 0.500 0.500 0.000
Ba 0.000 0.000 0.671
Ba 0.000 0.000 0.329
Ag 0.500 0.500 0.500

Entry x
Here is crystalline KBa2Ag at its relaxed geometry from Alexandria via LeMat-Bulk. Energies are from PBEsol.

Calculated values
space-group type	R-3m
density of states at the Fermi level	0.9126	states/eV per atom

Unit cell a=4.747 b=4.747 c=11.527 alpha=78.12 beta=78.12 gamma=60.00
Positions (direct):
K 0.500 0.500 0.500
Ba 0.280 0.280 0.160
Ba 0.720 0.720 0.840
Ag 0.000 0.000 0.000

Stability order, top to bottom: entry w, entry x

Entry w
Here is crystalline BaLiAg at its relaxed geometry from Alexandria via LeMat-Bulk. Energies are from PBEsol.

Calculated values
space-group type	I4mm
density of states at the Fermi level	0.5997	states/eV per atom

Unit cell a=3.798 b=3.798 c=6.298 alpha=107.55 beta=107.55 gamma=90.00
Positions (direct):
Ba 0.343 0.343 0.685
Ag 0.037 0.037 0.074
Li 0.620 0.620 0.241

Entry x
Here is crystalline BaLiAg at its relaxed geometry from Alexandria via LeMat-Bulk. Energies are from PBEsol.

Calculated values
space-group type	P-6m2
density of states at the Fermi level	0.4427	states/eV per atom

Unit cell a=4.636 b=4.719 c=4.719 alpha=120.00 beta=90.00 gamma=90.00
Positions (direct):
Ba 0.000 0.333 0.667
Ag 0.500 0.000 0.000
Li 0.500 0.667 0.333

Stability order, top to bottom: entry x, entry w